A geometry-optimized CrIO2 structure, computed with GGA+U.

Summary:
Polymorph energy (0 for the lowest one) ... 0.0000 eV per atom

Unit cell a=3.0979 b=3.0979 c=27.0890 alpha=90.00 beta=90.00 gamma=120.00
Space group R-3m (No. 166, hexagonal axes)
One atom of each set of equivalent atoms:
Cr (0.0000, 0.0000, 0.0000) x3
I (0.0000, 0.0000, 0.5000) x3
O (0.0000, 0.0000, 0.3664) x6